An optimized crystal structure of DyBi3. Source: Alexandria via LeMat-Bulk, functional PBE-GGA.

Lattice parameters (Å, degrees): 4.656 4.656 11.184 90.00 90.00 90.00
Space group I4/mmm (No. 139)
Symmetry-distinct sites (fractional):
Dy 0.000 0.000 0.000 (multiplicity 2)
Bi 0.000 0.000 0.500 (multiplicity 2)
Bi 0.000 0.500 0.250 (multiplicity 4)

Spin magnetization, μB per atom: 0.0000
Calculated total energy, eV/atom: -4.403